A.
TbPaPt: relaxed, PBE.

Results
Its crystal system is trigonal. The space group is P3m1, No. 156. As for the spin magnetization: 0.00 μB per atom.

a = 3.539 Å, b = 4.767 Å, c = 4.767 Å
α = 120.00°, β = 90.00°, γ = 90.00°
Fractional positions:
1 Pa 0.044 0.000 0.000
2 Tb 0.666 0.667 0.333
3 Pt 0.289 0.333 0.667


B.
TbPaPt: relaxed, PBE.

Results
Its crystal system is cubic. The space group is F-43m, No. 216. As for the spin magnetization: 0.36 μB per atom.

a = 4.863 Å, b = 4.863 Å, c = 4.863 Å
α = 60.00°, β = 60.00°, γ = 60.00°
Fractional positions:
1 Pt 0.250 0.250 0.250
2 Pa 0.500 0.500 0.500
3 Tb 0.000 0.000 0.000


How do the structures above rank in stability at the extremes? B comes first and A comes last.